Record 1
A relaxed ZnCd2Co crystal, computed with GGA-PBE.

```
ZnCd2Co
1.0
9.759 0.042 0.025
9.316 2.907 0.025
9.316 1.440 2.525
Cd Zn Co
2 1 1
Cartesian
0.135 0.021 0.012
6.738 1.042 0.611
21.678 3.351 1.966
14.038 2.170 1.273
```

DFT formation energy: 0.207 eV per atom
crystal system: trigonal


Record 2
A relaxed TiCoTeN2 crystal, computed with GGA-PBE.

```
TiCoTeN2
1.0
-2.403 -2.448 1.606
-0.740 -1.502 -3.397
3.768 -3.284 0.631
N Te Co Ti
2 1 1 1
Cartesian
-1.201 -1.224 0.803
-0.370 -0.751 -1.699
1.884 -1.642 0.316
0.000 0.000 0.000
0.312 -3.617 -0.580
```

energy relative to the elements, uncorrected: 940 meV per atom
crystal system: tetragonal


Record 3
A relaxed LaInS crystal, computed with GGA-PBE.

```
LaInS
1.0
-2.857 -1.957 3.278
-1.967 -4.270 -0.796
5.433 -6.024 4.607
In La S
2 2 2
Cartesian
-1.556 -8.061 4.236
2.164 -4.191 2.852
2.385 -7.293 4.661
-1.777 -4.959 2.427
1.366 -9.699 5.805
-0.758 -2.552 1.283
```

energy relative to the elements, uncorrected: -1283 meV per atom
crystal system: trigonal


Record 4
A relaxed LaNd2HoIn2 crystal, computed with GGA-PBE.

```
LaNd2HoIn2
1.0
-1.647 4.482 2.404
-6.429 -2.424 0.114
1.748 -4.213 9.052
La In Ho Nd
2 4 2 4
Cartesian
-5.422 -4.289 4.281
-2.070 -3.408 4.935
-1.650 0.170 4.497
-4.842 -2.543 1.424
-4.379 -2.212 7.068
-0.394 -4.302 7.751
-0.878 -1.113 7.417
-4.737 -0.773 4.140
-1.012 1.962 1.593
-1.759 -1.528 1.644
-3.846 -5.457 7.538
-2.627 -3.103 9.929
```

DFT formation energy: -0.344 eV per atom
crystal system: orthorhombic


Record 5
A relaxed CdAsIr2 crystal, computed with GGA-PBE.

```
CdAsIr2
1.0
-3.510 -2.141 1.874
-3.328 2.373 1.925
-4.067 0.186 -1.959
Ir As Cd
2 1 1
Cartesian
-2.726 0.104 0.460
-8.179 0.313 1.380
0.000 0.000 0.000
-5.453 0.209 0.920
```

DFT formation energy: 0.324 eV per atom
energy above the lowest structure with this stoichiometry: 232 meV per atom
crystal system: cubic


Record 6
A relaxed FeAgSb2 crystal, computed with GGA-PBE.

```
FeAgSb2
1.0
4.704 0.000 0.000
0.000 4.705 0.000
0.000 0.000 3.701
Sb Fe Ag
2 1 1
Cartesian
0.000 0.000 0.000
2.352 2.352 0.000
0.000 2.352 1.851
2.352 0.000 1.851
```

energy above the lowest structure with this stoichiometry: 230 meV per atom
energy relative to the elements, uncorrected: 391 meV per atom
crystal system: tetragonal